K3Hf3VSe8 (PBE-GGA, relaxed); spin magnetization = 2.6 μB per cell; symmetry = No. 12; energy relative to the elements, uncorrected = -1.253 eV/atom
1.0
6.6432 -3.8317 0.0000
6.6432 3.8317 0.0000
-4.4333 0.0000 7.8919
K Hf V Se
3 3 1 8
Direct
0.0000 0.0000 0.0000 K
0.0000 0.5000 0.0000 K
0.5000 0.0000 0.0000 K
0.0000 0.5000 0.5000 Hf
0.5000 0.0000 0.5000 Hf
0.5000 0.5000 0.5000 Hf
0.0000 0.0000 0.5000 V
0.2303 0.2303 0.6933 Se
0.2302 0.7328 0.6931 Se
0.2669 0.2669 0.3004 Se
0.2672 0.7698 0.3069 Se
0.7328 0.2302 0.6931 Se
0.7331 0.7331 0.6996 Se
0.7698 0.2672 0.3069 Se
0.7697 0.7697 0.3067 Se